a | A plane-wave DFT calculation with PBE was carried out for crystalline Cd2GaGe at its relaxed geometry.

**Size of the total moment**: 0.0 μB per formula unit
**Symmetry**: No. 12
**Crystal system**: monoclinic

Geometry as POSCAR:
```
Cd2GaGe
1.0
4.356 -0.052 -0.898
2.133 3.798 -0.898
1.082 0.624 5.241
Ga Cd Ge
1 2 1
Direct
0.625 0.625 0.000
0.292 0.292 0.249
0.958 0.958 0.751
0.625 0.625 0.500
```

---

b | A plane-wave DFT calculation with PBE was carried out for crystalline Cd2GaGe at its relaxed geometry.

**Size of the total moment**: 0.0 μB per formula unit
**Symmetry**: No. 123
**Crystal system**: tetragonal

Geometry as POSCAR:
```
Cd2GaGe
1.0
-1.410 2.927 1.867
-3.463 -1.333 -0.525
0.412 -3.124 5.209
Cd Ga Ge
2 1 1
Direct
0.000 0.000 0.253
0.000 0.000 0.747
0.500 0.500 0.500
0.500 0.500 0.000
```

---

In meV/atom, relative to the most stable structure: a 0; b 33.